1.
Computed, not measured: an optimized crystal structure of Sm12Ni5Sn at the GGA-PBE level of DFT.

Values from the calculation:
For the density, the calculation gives 7.7 g/cm³. For the energy, the calculation gives -5.2894 eV per atom.

a b c (Å): 9.531 9.811 10.162
angles (deg): 90.00 90.00 90.00
Space group Immm (No. 71)
Symmetry-distinct sites (fractional):
Sm 0.000 0.190 0.207
Sm 0.193 0.500 0.178
Sm 0.201 0.318 0.500
Ni 0.000 0.000 0.000
Ni 0.000 0.368 0.000
Ni 0.000 0.500 0.376
Sn 0.000 0.000 0.500

---

2.
Computed, not measured: an optimized crystal structure of Sm12Ni6Sn at the GGA-PBE level of DFT.

Values from the calculation:
For the density, the calculation gives 7.7 g/cm³. For the energy, the calculation gives -5.3554 eV per atom.

a b c (Å): 9.936 9.936 9.936
angles (deg): 90.00 90.00 90.00
Space group Im-3 (No. 204)
Symmetry-distinct sites (fractional):
Sm 0.000 0.306 0.187
Ni 0.000 0.122 0.500
Sn 0.000 0.000 0.000

---

3.
Computed, not measured: an optimized crystal structure of Sm6Ni2Sn at the GGA-PBE level of DFT.

Values from the calculation:
For the density, the calculation gives 7.7 g/cm³. For the energy, the calculation gives -5.2213 eV per atom.

a b c (Å): 9.403 10.057 10.374
angles (deg): 90.00 90.00 90.00
Space group Immm (No. 71)
Symmetry-distinct sites (fractional):
Sm 0.000 0.203 0.231
Sm 0.191 0.500 0.176
Sm 0.208 0.317 0.500
Ni 0.000 0.356 0.000
Ni 0.000 0.500 0.380
Sn 0.000 0.000 0.000
Sn 0.000 0.000 0.500

---

4.
Computed, not measured: an optimized crystal structure of SmNiSn4 at the GGA-PBE level of DFT.

Values from the calculation:
For the density, the calculation gives 7.8 g/cm³. For the energy, the calculation gives -4.7966 eV per atom.

a b c (Å): 4.432 29.127 4.503
angles (deg): 90.00 90.00 90.00
Space group Cmmm (No. 65)
Symmetry-distinct sites (fractional):
Sm 0.000 0.192 0.000
Ni 0.000 0.449 0.500
Sn 0.000 0.000 0.500
Sn 0.000 0.107 0.500
Sn 0.000 0.285 0.500
Sn 0.000 0.394 0.000
Sn 0.000 0.500 0.000

---

5.
Computed, not measured: an optimized crystal structure of Sm8Ni2Sn at the GGA-PBE level of DFT.

Values from the calculation:
For the density, the calculation gives 7.6 g/cm³. For the energy, the calculation gives -5.0408 eV per atom.

a b c (Å): 8.705 13.606 5.453
angles (deg): 90.00 104.30 90.00
Space group C2/m (No. 12)
Symmetry-distinct sites (fractional):
Sm 0.000 0.248 0.000
Sm 0.105 0.500 0.803
Sm 0.203 0.126 0.570
Ni 0.000 0.302 0.500
Sn 0.000 0.000 0.000

---

6.
Computed, not measured: an optimized crystal structure of SmNi2Sn3 at the GGA-PBE level of DFT.

Values from the calculation:
For the density, the calculation gives 8.3 g/cm³. For the energy, the calculation gives -5.0806 eV per atom.

a b c (Å): 16.986 4.346 10.609
angles (deg): 90.00 107.63 90.00
Space group C2/m (No. 12)
Symmetry-distinct sites (fractional):
Sm 0.000 0.000 0.000
Sm 0.154 0.000 0.701
Ni 0.014 0.500 0.772
Ni 0.139 0.500 0.437
Ni 0.194 0.000 0.108
Sn 0.000 0.500 0.500
Sn 0.044 0.000 0.340
Sn 0.129 0.500 0.181
Sn 0.162 0.500 0.932
Sn 0.226 0.000 0.378

---

7.
Computed, not measured: an optimized crystal structure of SmNi2Sn4 at the GGA-PBE level of DFT.

Values from the calculation:
For the density, the calculation gives 8.3 g/cm³. For the energy, the calculation gives -4.9838 eV per atom.

a b c (Å): 19.006 4.359 7.180
angles (deg): 90.00 90.00 90.00
Space group Pnma (No. 62)
Symmetry-distinct sites (fractional):
Sm 0.140 0.250 0.024
Ni 0.037 0.750 0.753
Ni 0.211 0.250 0.490
Sn 0.026 0.750 0.137
Sn 0.068 0.250 0.506
Sn 0.178 0.750 0.710
Sn 0.204 0.750 0.290

---

8.
Computed, not measured: an optimized crystal structure of Sm2NiSn4 at the GGA-PBE level of DFT.

Values from the calculation:
For the density, the calculation gives 8.0 g/cm³. For the energy, the calculation gives -5.0840 eV per atom.

a b c (Å): 17.061 4.504 8.979
angles (deg): 90.00 90.00 90.00
Space group Pnma (No. 62)
Symmetry-distinct sites (fractional):
Sm 0.147 0.250 0.109
Sm 0.149 0.250 0.635
Ni 0.062 0.750 0.855
Sn 0.009 0.250 0.391
Sn 0.009 0.750 0.129
Sn 0.175 0.750 0.373
Sn 0.210 0.750 0.871

---

9.
Computed, not measured: an optimized crystal structure of Sm2NiSn3 at the GGA-PBE level of DFT.

Values from the calculation:
For the density, the calculation gives 8.1 g/cm³. For the energy, the calculation gives -5.1306 eV per atom.

a b c (Å): 11.259 4.592 7.407
angles (deg): 90.00 130.07 90.00
Space group Cm (No. 8)
Symmetry-distinct sites (fractional):
Sm 0.000 0.000 0.000
Sm 0.126 0.000 0.601
Ni 0.246 0.500 0.054
Sn 0.231 0.500 0.396
Sn 0.373 0.000 0.174
Sn 0.461 0.000 0.678

---

10.
Computed, not measured: an optimized crystal structure of SmNi5Sn at the GGA-PBE level of DFT.

Values from the calculation:
For the density, the calculation gives 9.1 g/cm³. For the energy, the calculation gives -5.7275 eV per atom.

a b c (Å): 8.110 4.914 10.294
angles (deg): 90.00 90.00 90.00
Space group Pnma (No. 62)
Symmetry-distinct sites (fractional):
Sm 0.250 0.250 0.059
Ni 0.052 0.250 0.602
Ni 0.066 0.501 0.809
Ni 0.085 0.750 0.017
Ni 0.187 0.750 0.245
Sn 0.142 0.250 0.360

---

11.
Computed, not measured: an optimized crystal structure of Sm2Zn2Ni5Sn at the GGA-PBE level of DFT.

Values from the calculation:
For the density, the calculation gives 8.6 g/cm³. For the energy, the calculation gives -4.7727 eV per atom.

a b c (Å): 9.465 9.465 3.642
angles (deg): 90.00 90.00 90.00
Space group P4/mbm (No. 127)
Symmetry-distinct sites (fractional):
Sm 0.181 0.319 0.000
Zn 0.114 0.614 0.000
Ni 0.000 0.500 0.500
Ni 0.062 0.786 0.500
Sn 0.000 0.000 0.000

---

12.
Computed, not measured: an optimized crystal structure of SmZnNi4Sn2 at the GGA-PBE level of DFT.

Values from the calculation:
For the density, the calculation gives 8.6 g/cm³. For the energy, the calculation gives -4.9654 eV per atom.

a b c (Å): 4.2795 4.2795 25.1191
angles (deg): 90.00 90.00 120.00
Space group R-3m (No. 166, hexagonal axes)
Symmetry-distinct sites (fractional):
Sm 0.0000 0.0000 0.0000
Zn 0.0000 0.0000 0.5000
Ni 0.0000 0.0000 0.1347
Ni 0.0000 0.0000 0.4035
Sn 0.0000 0.0000 0.2425

---

Taking the records one at a time from the top gives ΔE_f values of -315.0 -338.5 -345.7 -377.9 -193.7 -365.5 -370.5 -622.5 -592.6 -352.0 -283.2 -324.9 meV/atom.
Taking the records one at a time from the top gives size of the total moment values of 0.000 0.000 0.000 0.000 0.000 0.000 0.000 0.000 0.000 0.000 0.000 0.000 μB/atom.